[1]
The following is a DFT calculation (GGA-PBE) of an optimized crystal structure of Tb3Sm2Au2.

Cell: 12.8235 3.7656 9.2340 Å, 90.00 116.31 90.00°
Space group C2/m (No. 12)
Symmetry-distinct sites (fractional):
Tb: 0.0000 0.0000 0.0000 [2 per cell]
Tb: 0.1140 0.0000 0.4460 [4 per cell]
Sm: 0.1514 0.5000 0.8132 [4 per cell]
Au: 0.1673 0.5000 0.2319 [4 per cell]

DFT total energy: -66.7 eV for the cell shown
E_form: -493 meV per atom

---

[2]
The following is a DFT calculation (GGA-PBE) of an optimized crystal structure of CeY3Tm3Se8.

Cell: 8.1087 8.1087 19.8141 Å, 90.00 90.00 120.00°
Space group R-3m (No. 166, hexagonal axes)
Symmetry-distinct sites (fractional):
Ce: 0.0000 0.0000 0.0000 [3 per cell]
Y: 0.0000 0.5000 0.5000 [9 per cell]
Tm: 0.0000 0.5000 0.0000 [9 per cell]
Se: 0.0000 0.0000 0.2520 [6 per cell]
Se: 0.0168 0.5084 0.2481 [18 per cell]

DFT total energy: -280.2 eV for the cell shown
formation energy from raw total energies: -2583 kJ/mol of formula units

---

[3]
The following is a DFT calculation (GGA-PBE) of an optimized crystal structure of Y2MgSb.

Cell: 4.3460 4.3737 6.2161 Å, 90.00 110.43 90.00°
Space group Pm (No. 6)
Symmetry-distinct sites (fractional):
Y: 0.0000 0.0000 0.0000 [1 per cell]
Y: 0.2875 0.5000 0.5777 [1 per cell]
Mg: 0.5616 0.5000 0.1213 [1 per cell]
Sb: 0.7241 0.0000 0.4505 [1 per cell]

DFT total energy: -21.0 eV for the cell shown
formation energy from raw total energies: -229 kJ/mol of formula units

---

[4]
The following is a DFT calculation (GGA-PBE) of an optimized crystal structure of AcNd6SmTm2.

Cell: 9.4700 15.3763 9.7885 Å, 90.00 95.99 90.00°
Space group C2/c (No. 15)
Symmetry-distinct sites (fractional):
Ac: 0.0000 0.0332 0.2500 [4 per cell]
Nd: 0.0659 0.1792 0.9452 [8 per cell]
Nd: 0.0955 0.3890 0.1183 [8 per cell]
Nd: 0.2211 0.2288 0.3205 [8 per cell]
Sm: 0.0000 0.4104 0.7500 [4 per cell]
Tm: 0.2440 0.4481 0.4506 [8 per cell]

DFT total energy: -180.8 eV for the cell shown
E_form: 118 meV per atom